(1)
Compound: Te2RuPb
Source: the Alexandria database
Functional: PBE-GGA
Structure: optimized geometry

abc: 3.7899 4.8260 5.3741
angles: 90.00 90.00 90.00
Last column: nearest neighbours and their distance in Å.
Fractional coordinates of all 4 atoms:
1 Te 0.0000 0.0000 0.0000  4 Pb 3.07, 4 Te 3.29
2 Te 0.5000 0.0000 0.5000  4 Ru 3.07, 4 Te 3.29
3 Ru 0.0000 0.5000 0.5000  4 Te 3.07, 4 Pb 3.29
4 Pb 0.5000 0.5000 0.0000  4 Te 3.07, 4 Ru 3.29

Values from the calculation:
Its symmetry is Pmmm, No. 47. The value obtained for the raw formation energy is 0.634 eV per atom. Its density of states at the Fermi level is 3.749 states/eV per cell.

---

(2)
Compound: CsLiSc2Te4
Source: the Alexandria database
Functional: PBE-GGA
Structure: optimized geometry

abc: 7.7994 7.7994 15.3819
angles: 90.00 90.00 147.39
Last column: nearest neighbours and their distance in Å.
Fractional coordinates of all 16 atoms:
1 Cs 0.1120 0.8880 0.7500  6 Te 3.61-3.75, 2 Li 3.85
2 Cs 0.8880 0.1120 0.2500  6 Te 3.61-3.75, 2 Li 3.85
3 Li 0.1766 0.8234 0.2500  4 Te 2.63-2.66
4 Li 0.8234 0.1766 0.7500  4 Te 2.63-2.66
5 Sc 0.3684 0.6316 0.5636  6 Te 2.95-3.10
6 Sc 0.3684 0.6316 0.9364  6 Te 2.95-3.10
7 Sc 0.6316 0.3684 0.0636  6 Te 2.95-3.10
8 Sc 0.6316 0.3684 0.4364  6 Te 2.95-3.10
9 Te 0.0000 0.0000 0.0000  4 Sc 3.10
10 Te 0.0000 0.0000 0.5000  4 Sc 3.10
11 Te 0.2593 0.7407 0.0970  1 Li 2.66, 3 Sc 2.95-2.96
12 Te 0.2593 0.7407 0.4030  1 Li 2.66, 3 Sc 2.95-2.96
13 Te 0.4202 0.5798 0.7500  2 Li 2.63
14 Te 0.5798 0.4202 0.2500  2 Li 2.63
15 Te 0.7407 0.2593 0.5970  1 Li 2.66, 3 Sc 2.95-2.96
16 Te 0.7407 0.2593 0.9030  1 Li 2.66, 3 Sc 2.95-2.96

Values from the calculation:
Its symmetry is Cmcm, No. 63. The value obtained for the raw formation energy is -1.141 eV per atom.

---

(3)
Compound: PrDy3Pb2
Source: the Alexandria database
Functional: PBE-GGA
Structure: optimized geometry

abc: 9.4928 9.4928 9.6243
angles: 112.67 112.67 28.33
Last column: nearest neighbours and their distance in Å.
Fractional coordinates of all 12 atoms:
1 Pr 0.1147 0.1147 0.1324  6 Pb 3.32-3.53, 1 Dy 3.64
2 Pr 0.8853 0.8853 0.8676  6 Pb 3.32-3.53, 1 Dy 3.64
3 Dy 0.0581 0.0581 0.6876  3 Pb 3.10-3.34, 3 Dy 3.38-3.39
4 Dy 0.3077 0.3077 0.1108  4 Pb 3.22-3.56, 4 Dy 3.30-3.38
5 Dy 0.3568 0.3568 0.5153  4 Pb 3.22-3.31
6 Dy 0.6432 0.6432 0.4847  4 Pb 3.22-3.31
7 Dy 0.6923 0.6923 0.8892  4 Pb 3.22-3.56, 4 Dy 3.30-3.38
8 Dy 0.9419 0.9419 0.3124  3 Pb 3.10-3.34, 3 Dy 3.38-3.39
9 Pb 0.2438 0.2438 0.7101  7 Dy 3.22-3.56, 2 Pr 3.37
10 Pb 0.4904 0.4904 0.1530  1 Pb 3.10, 4 Dy 3.10-3.31, 2 Pr 3.32
11 Pb 0.5096 0.5096 0.8470  1 Pb 3.10, 4 Dy 3.10-3.31, 2 Pr 3.32
12 Pb 0.7562 0.7562 0.2899  7 Dy 3.22-3.56, 2 Pr 3.37

Values from the calculation:
Its symmetry is C2/m, No. 12. The calculated formation energy is -2.0 eV per formula unit. Its density of states at the Fermi level is 13.958 states/eV per cell.

---

Quick rundown of mass density, same order as above: 9.52 4.88 9.17 g cm⁻³